PBE HfAsAuO, optimized geometry; energy = -0.2521 hartree per atom; excess energy over the best structure of this formula in the dataset = 168 meV/atom; crystal system = orthorhombic
1.0
-0.181 -3.834 1.161
3.008 1.474 5.336
-4.947 0.994 2.514
As Au Hf O
2 2 2 2
Cartesian
-1.213 0.805 2.471
-2.304 1.980 6.181
-2.394 -1.349 2.096
-2.162 0.474 8.152
0.125 1.441 4.779
-3.584 1.333 3.843
-0.296 -0.498 5.234
-3.748 -0.481 4.755